The following is a DFT calculation (PBE-GGA) of crystalline K3Na2PaO6 at its relaxed geometry.

Values from the calculation:
Uncorrected formation energy (meV/atom): -1954
Space-group type: C2/m, No. 12
DOS(E_F) (states/eV/cell): 6.52

Cell: 6.1392 6.1392 6.4636 Å, 99.05 99.05 119.86°
Closest atoms and distances in Å follow each position.
Fractional coordinates of all 12 atoms:
K 0.0000 0.0000 0.0000  6 O 2.67-2.98
K 0.3220 0.6780 0.0000  6 O 2.69-2.90
K 0.6780 0.3220 0.0000  6 O 2.69-2.90
Na 0.1665 0.8335 0.5000  6 O 2.51-2.53
Na 0.8335 0.1665 0.5000  6 O 2.51-2.53
Pa 0.5000 0.5000 0.5000  6 O 2.13-2.14
O 0.1466 0.4338 0.3029  1 Pa 2.14
O 0.2829 0.2829 0.7000  1 Pa 2.13
O 0.4338 0.1466 0.3029  1 Pa 2.14
O 0.5662 0.8534 0.6971  1 Pa 2.14
O 0.7171 0.7171 0.3000  1 Pa 2.13
O 0.8534 0.5662 0.6971  1 Pa 2.14